# 1
LaMgH6Pt2: optimized geometry, PBE.

Fermi-level density of states ... 6.482 states/eV/cell
Total moment ... 0.00 μB/atom

Unit cell a=4.6132 b=4.6132 c=16.7171 alpha=90.00 beta=90.00 gamma=120.00
Space group R-3m (No. 166, hexagonal axes)
Inequivalent atoms, fractional coordinates:
La  0.0000  0.0000  0.0000 [3 per cell]
Mg  0.0000  0.0000  0.5000 [3 per cell]
H  0.0106  0.5053  0.0653 [18 per cell]
Pt  0.0000  0.0000  0.2102 [6 per cell]


# 2
La2MgHRh: optimized geometry, PBE.

Fermi-level density of states ... 3.360 states/eV/cell
Total moment ... 0.00 μB/atom

Unit cell a=5.390 b=5.390 c=3.729 alpha=90.00 beta=90.00 gamma=90.00
Space group P4/mmm (No. 123)
Inequivalent atoms, fractional coordinates:
La  0.000  0.500  0.000 [2 per cell]
Mg  0.000  0.000  0.500 [1 per cell]
H  0.500  0.500  0.000 [1 per cell]
Rh  0.500  0.500  0.500 [1 per cell]


# 3
LaMgH6Rh2: optimized geometry, PBE.

Fermi-level density of states ... 11.019 states/eV/cell
Total moment ... 0.00 μB/atom

Unit cell a=4.6670 b=4.6670 c=15.8809 alpha=90.00 beta=90.00 gamma=120.00
Space group R-3m (No. 166, hexagonal axes)
Inequivalent atoms, fractional coordinates:
La  0.0000  0.0000  0.0000 [3 per cell]
Mg  0.0000  0.0000  0.5000 [3 per cell]
H  0.0027  0.5013  0.9344 [18 per cell]
Rh  0.0000  0.0000  0.2064 [6 per cell]


Result set for final energy: -4.3656 -4.8012 -4.5637 eV per atom, one per record in the order listed.